## w
Computed, not measured: a relaxed structure of FeReSn2 at the GGA-PBE level of DFT.

Cell: 6.448 6.448 6.448 Å, 90.00 90.00 90.00°
Space group Fm-3m (No. 225)
Unique sites:
Fe 0.000 0.000 0.000
Re 0.000 0.000 0.500
Sn 0.250 0.250 0.250


## x
Computed, not measured: a relaxed structure of FeReSn2 at the GGA-PBE level of DFT.

Cell: 7.293 7.293 5.582 Å, 90.00 90.00 90.00°
Space group I-42d (No. 122)
Unique sites:
Fe 0.000 0.000 0.000
Re 0.000 0.000 0.500
Sn 0.226 0.250 0.125


Most favorable structure: w. The second most favorable one is 588 meV/atom above it.


## w
Computed, not measured: a relaxed structure of Sr2FeRe at the GGA-PBE level of DFT.

Cell: 10.108 2.890 6.388 Å, 90.00 94.13 90.00°
Space group C2/m (No. 12)
Unique sites:
Sr 0.246 0.000 0.248
Fe 0.000 0.000 0.500
Re 0.000 0.500 0.000


## x
Computed, not measured: a relaxed structure of Sr2FeRe at the GGA-PBE level of DFT.

Cell: 3.710 5.239 10.979 Å, 90.00 90.00 90.00°
Space group Imm2 (No. 44)
Unique sites:
Sr 0.000 0.000 0.000
Sr 0.000 0.500 0.217
Fe 0.000 0.500 0.797
Re 0.000 0.000 0.410


## y
Computed, not measured: a relaxed structure of Sr2FeRe at the GGA-PBE level of DFT.

Cell: 4.420 4.420 4.792 Å, 90.00 90.00 90.00°
Space group P4/mmm (No. 123)
Unique sites:
Sr 0.000 0.500 0.000
Fe 0.000 0.000 0.500
Re 0.500 0.500 0.500


## z
Computed, not measured: a relaxed structure of Sr2FeRe at the GGA-PBE level of DFT.

Cell: 2.976 4.886 6.378 Å, 90.00 90.00 90.00°
Space group Pmmm (No. 47)
Unique sites:
Sr 0.000 0.000 0.248
Fe 0.500 0.500 0.500
Re 0.500 0.500 0.000


Most favorable structure: x. The second most favorable one is 554 meV/atom above it.


## w
Computed, not measured: a relaxed structure of Sr2FeRe at the GGA-PBE level of DFT.

Cell: 3.2411 3.2411 30.8547 Å, 90.00 90.00 120.00°
Space group R-3m (No. 166, hexagonal axes)
Unique sites:
Sr 0.0000 0.0000 0.2492
Fe 0.0000 0.0000 0.0000
Re 0.0000 0.0000 0.5000


## x
Computed, not measured: a relaxed structure of Sr2FeRe at the GGA-PBE level of DFT.

Cell: 6.958 4.017 9.025 Å, 90.00 105.13 90.00°
Space group Cm (No. 8)
Unique sites:
Sr 0.000 0.000 0.000
Sr 0.179 0.000 0.532
Fe 0.259 0.500 0.276
Re 0.421 0.000 0.261


Most favorable structure: x. The second most favorable one is 1007 meV/atom above it.


## w
Computed, not measured: a relaxed structure of Sr2FeRe at the GGA-PBE level of DFT.

Cell: 3.030 3.030 9.956 Å, 90.00 90.00 90.00°
Space group P4/mmm (No. 123)
Unique sites:
Sr 0.000 0.000 0.250
Fe 0.500 0.500 0.000
Re 0.500 0.500 0.500


## x
Computed, not measured: a relaxed structure of Sr2FeRe at the GGA-PBE level of DFT.

Cell: 7.459 7.459 7.459 Å, 90.00 90.00 90.00°
Space group Fm-3m (No. 225)
Unique sites:
Sr 0.250 0.250 0.250
Fe 0.000 0.000 0.000
Re 0.000 0.000 0.500


Most favorable structure: w. The second most favorable one is 80 meV/atom above it.


## w
Computed, not measured: a relaxed structure of Sr2FeRe at the GGA-PBE level of DFT.

Cell: 6.370 9.752 2.983 Å, 90.00 90.00 90.00°
Space group Cmmm (No. 65)
Unique sites:
Sr 0.250 0.250 0.000
Fe 0.000 0.000 0.500
Re 0.000 0.500 0.500


## x
Computed, not measured: a relaxed structure of Sr2FeRe at the GGA-PBE level of DFT.

Cell: 7.195 7.195 7.195 Å, 90.00 90.00 90.00°
Space group F-43m (No. 216)
Unique sites:
Sr 0.000 0.000 0.000
Sr 0.250 0.250 0.250
Fe 0.000 0.000 0.500
Re 0.250 0.250 0.750


## y
Computed, not measured: a relaxed structure of Sr2FeRe at the GGA-PBE level of DFT.

Cell: 5.533 5.533 3.326 Å, 90.00 90.00 90.00°
Space group P4/mmm (No. 123)
Unique sites:
Sr 0.000 0.500 0.000
Fe 0.000 0.000 0.500
Re 0.500 0.500 0.500


## z
Computed, not measured: a relaxed structure of Sr2FeRe at the GGA-PBE level of DFT.

Cell: 11.353 11.353 4.429 Å, 90.00 90.00 90.00°
Space group I-42d (No. 122)
Unique sites:
Sr 0.066 0.250 0.125
Fe 0.000 0.000 0.000
Re 0.000 0.000 0.500


Most favorable structure: z. The second most favorable one is 213 meV/atom above it.


## w
Computed, not measured: a relaxed structure of Sr2FeRe at the GGA-PBE level of DFT.

Cell: 3.353 3.602 17.918 Å, 90.00 90.00 90.00°
Space group Immm (No. 71)
Unique sites:
Sr 0.000 0.000 0.146
Fe 0.000 0.500 0.500
Re 0.000 0.500 0.000


## x
Computed, not measured: a relaxed structure of Sr2FeRe at the GGA-PBE level of DFT.

Cell: 4.663 4.663 9.044 Å, 90.00 90.00 90.00°
Space group I4/mmm (No. 139)
Unique sites:
Sr 0.000 0.500 0.250
Fe 0.000 0.000 0.000
Re 0.000 0.000 0.500


## y
Computed, not measured: a relaxed structure of Sr2FeRe at the GGA-PBE level of DFT.

Cell: 3.383 3.375 9.212 Å, 90.00 90.20 90.00°
Space group Pm (No. 6)
Unique sites:
Sr 0.000 0.000 0.000
Sr 0.495 0.500 0.405
Fe 0.998 0.000 0.665
Re 0.497 0.500 0.737


Most favorable structure: y. The second most favorable one is 45 meV/atom above it.


## w
Computed, not measured: a relaxed structure of SrFeRe2 at the GGA-PBE level of DFT.

Cell: 3.061 4.513 5.085 Å, 90.00 90.00 90.00°
Space group Pmmm (No. 47)
Unique sites:
Sr 0.000 0.000 0.000
Fe 0.500 0.500 0.000
Re 0.000 0.500 0.500
Re 0.500 0.000 0.500


## x
Computed, not measured: a relaxed structure of SrFeRe2 at the GGA-PBE level of DFT.

Cell: 3.155 3.155 7.651 Å, 90.00 90.00 90.00°
Space group P4mm (No. 99)
Unique sites:
Sr 0.000 0.000 0.000
Fe 0.500 0.500 0.679
Re 0.000 0.000 0.499
Re 0.500 0.500 0.321


Most favorable structure: x. The second most favorable one is 475 meV/atom above it.


## w
Computed, not measured: a relaxed structure of TaFeRe at the GGA-PBE level of DFT.

Cell: 3.198 4.379 12.781 Å, 90.00 90.00 90.00°
Space group Fmm2 (No. 42)
Unique sites:
Ta 0.000 0.000 0.000
Fe 0.000 0.000 0.666
Re 0.000 0.000 0.322


## x
Computed, not measured: a relaxed structure of TaFeRe at the GGA-PBE level of DFT.

Cell: 4.4141 4.4141 2.6814 Å, 90.00 90.00 120.00°
Space group P3m1 (No. 156)
Unique sites:
Ta 0.0000 0.0000 0.0000
Fe 0.6667 0.3333 0.3321
Re 0.3333 0.6667 0.6559


Most favorable structure: x. The second most favorable one is 22 meV/atom above it.


## w
Computed, not measured: a relaxed structure of TaFeRe at the GGA-PBE level of DFT.

Cell: 2.747 2.747 11.578 Å, 90.00 90.00 90.00°
Space group I4mm (No. 107)
Unique sites:
Ta 0.000 0.000 0.000
Fe 0.000 0.000 0.332
Re 0.000 0.000 0.695


## x
Computed, not measured: a relaxed structure of TaFeRe at the GGA-PBE level of DFT.

Cell: 3.149 3.149 9.095 Å, 90.00 90.00 90.00°
Space group I4mm (No. 107)
Unique sites:
Ta 0.000 0.000 0.000
Fe 0.000 0.000 0.669
Re 0.000 0.000 0.327


## y
Computed, not measured: a relaxed structure of TaFeRe at the GGA-PBE level of DFT.

Cell: 5.998 5.998 5.998 Å, 90.00 90.00 90.00°
Space group F-43m (No. 216)
Unique sites:
Ta 0.000 0.000 0.000
Fe 0.250 0.250 0.750
Re 0.250 0.250 0.250


## z
Computed, not measured: a relaxed structure of TaFeRe at the GGA-PBE level of DFT.

Cell: 5.015 11.311 6.481 Å, 90.00 90.00 90.00°
Space group Cmce (No. 64)
Unique sites:
Ta 0.000 0.198 0.093
Fe 0.000 0.091 0.414
Re 0.250 0.081 0.750


Most favorable structure: x. The second most favorable one is 20 meV/atom above it.


## w
Computed, not measured: a relaxed structure of TaFeRe3 at the GGA-PBE level of DFT.

Cell: 4.399 4.399 4.399 Å, 90.00 90.00 90.00°
Space group Pm-3m (No. 221)
Unique sites:
Ta 0.000 0.000 0.000
Fe 0.500 0.500 0.500
Re 0.000 0.500 0.500


## x
Computed, not measured: a relaxed structure of TaFeRe3 at the GGA-PBE level of DFT.

Cell: 4.694 4.694 4.694 Å, 90.00 90.00 90.00°
Space group Pm-3m (No. 221)
Unique sites:
Ta 0.000 0.000 0.000
Fe 0.500 0.500 0.500
Re 0.000 0.000 0.500


Most favorable structure: w. The second most favorable one is 1501 meV/atom above it.


## w
Computed, not measured: a relaxed structure of Ta3FeRe at the GGA-PBE level of DFT.

Cell: 4.505 4.505 4.505 Å, 90.00 90.00 90.00°
Space group Pm-3m (No. 221)
Unique sites:
Ta 0.000 0.000 0.500
Fe 0.000 0.000 0.000
Re 0.500 0.500 0.500


## x
Computed, not measured: a relaxed structure of Ta3FeRe at the GGA-PBE level of DFT.

Cell: 4.801 4.801 4.801 Å, 90.00 90.00 90.00°
Space group Pm-3m (No. 221)
Unique sites:
Ta 0.000 0.000 0.500
Fe 0.500 0.500 0.500
Re 0.000 0.000 0.000


Most favorable structure: w. The second most favorable one is 846 meV/atom above it.